A relaxed AcFeRuO6 crystal, computed with PBE with a Hubbard U.

Cell lengths 5.649, 5.649, 8.205 Å; angles 90.00, 90.00, 120.00 degrees
Atoms (fractional coordinates):
Fe  0.000  0.000  0.500
O  0.286  0.363  0.886
Fe  0.000  0.000  0.000
Ru  0.667  0.333  0.250
O  0.923  0.637  0.386
O  0.077  0.363  0.614
O  0.923  0.286  0.114
O  0.714  0.077  0.386
Ac  0.333  0.667  0.250
O  0.363  0.286  0.386
Ru  0.333  0.667  0.750
O  0.714  0.637  0.114
O  0.363  0.077  0.114
O  0.077  0.714  0.886
Ac  0.667  0.333  0.750
O  0.286  0.923  0.614
O  0.637  0.714  0.614
O  0.637  0.923  0.886

Computed properties:
The space group is P-31c. The calculation puts the total energy at -6.9490 eV/atom. The calculation puts the magnetic moment at 5.98 μB/cell. The density of states at the Fermi level comes out at 3.5 states/eV/f.u. For the calculated volume, the calculation gives 12.60 Å³/atom.